MgTa2Al | Alexandria | GGA-PBEsol | optimized geometry; ΔH_f (0 K) = 0.043 eV per atom; spin magnetization = 0.00 μB/cell; crystal system = tetragonal; calculated total energy = -7.685 eV per atom; SG = P4/mmm (123)
1.0
-1.5011 -1.1354 2.1205
-1.5786 -1.4209 -1.8783
5.5574 -6.6603 0.3679
Al Mg Ta
1 1 2
direct
0.5000 0.5000 0.0000
0.5000 0.5000 0.5000
0.0000 0.0000 0.7730
0.0000 0.0000 0.2270